(1)
The following is a DFT calculation (meta-GGA SCAN) of a crystal of LiWF2 relaxed with PBEsol.

The structure in POSCAR format:
```
LiWF2
1.0
4.718 0.000 0.000
0.000 4.718 0.000
0.000 0.000 8.215
Li W F
4 4 8
Cartesian
0.000 0.000 0.000 Li
0.000 2.359 2.054 Li
2.359 0.000 6.161 Li
2.359 2.359 4.108 Li
0.000 0.000 4.108 W
0.000 2.359 6.161 W
2.359 0.000 2.054 W
2.359 2.359 0.000 W
0.773 1.179 1.027 F
1.179 3.132 3.081 F
1.179 3.945 7.188 F
1.586 1.179 5.135 F
3.132 3.538 5.135 F
3.538 0.773 7.188 F
3.538 1.586 3.081 F
3.945 3.538 1.027 F
```

Properties
Its size of the total moment is 4.002 μB per cell. For the calculated volume, the calculation gives 11.4 A^3/atom. The density of states at the Fermi level comes out at 6.99 states/eV/cell. The crystal system is tetragonal. The value obtained for the energy above the lowest structure with this stoichiometry is 106.56 kJ per mole of atoms. The calculation puts the uncorrected formation energy at -366 kJ/mol of formula units.

=====

(2)
The following is a DFT calculation (meta-GGA SCAN) of a crystal of LaMgRh relaxed with PBEsol.

The structure in POSCAR format:
```
LaMgRh
1.0
7.202 0.000 0.000
0.000 4.142 0.000
0.000 0.000 8.758
La Mg Rh
4 4 4
Cartesian
0.247 1.036 1.582 La
3.355 3.107 5.961 La
3.848 1.036 2.797 La
6.956 3.107 7.175 La
0.963 1.036 4.862 Mg
2.638 3.107 0.483 Mg
4.564 1.036 8.274 Mg
6.239 3.107 3.895 Mg
1.795 1.036 7.609 Rh
1.806 3.107 3.230 Rh
5.396 1.036 5.528 Rh
5.407 3.107 1.149 Rh
```

Properties
The electronic total energy comes out at -335.8 eV/cell. Its size of the total moment is 0.000 μB per cell. For the calculated volume, the calculation gives 21.8 A^3/atom. The density of states at the Fermi level comes out at 5.70 states/eV/cell. The crystal system is orthorhombic.

=====

(3)
The following is a DFT calculation (meta-GGA SCAN) of a crystal of LiVF4 relaxed with PBEsol.

The structure in POSCAR format:
```
LiVF4
1.0
10.270 0.000 0.000
0.000 2.853 0.000
-3.887 0.000 5.066
Li V F
2 2 8
Cartesian
0.000 0.000 0.000 Li
5.135 1.427 0.000 Li
-1.943 1.427 2.533 V
3.192 0.000 2.533 V
-3.070 1.427 4.069 F
-0.866 0.000 3.321 F
2.114 1.427 1.745 F
4.318 0.000 0.996 F
2.065 0.000 4.069 F
4.269 1.427 3.321 F
7.249 0.000 1.745 F
9.453 1.427 0.996 F
```

Properties
Its size of the total moment is 4.000 μB per cell. For the calculated volume, the calculation gives 12.4 A^3/atom. The crystal system is monoclinic. The value obtained for the energy above the lowest structure with this stoichiometry is 7.28 kJ per mole of atoms. The calculation puts the uncorrected formation energy at -1819 kJ/mol of formula units.

=====

(4)
The following is a DFT calculation (meta-GGA SCAN) of a crystal of CsNb2GeOs relaxed with PBEsol.

The structure in POSCAR format:
```
CsNb2GeOs
1.0
4.912 0.000 0.000
0.000 4.912 0.000
0.000 0.000 5.499
Cs Nb Ge Os
1 2 1 1
Cartesian
0.000 0.000 0.000 Cs
0.000 2.456 2.749 Nb
2.456 0.000 2.749 Nb
2.456 2.456 0.000 Ge
0.000 0.000 2.749 Os
```

Properties
The electronic total energy comes out at -186.9 eV/cell. Its size of the total moment is 1.689 μB per cell. For the calculated volume, the calculation gives 26.5 A^3/atom. The density of states at the Fermi level comes out at 5.33 states/eV/cell. The crystal system is tetragonal.

=====

(5)
The following is a DFT calculation (meta-GGA SCAN) of a crystal of ReN2 relaxed with PBEsol.

The structure in POSCAR format:
```
ReN2
1.0
4.789 0.000 0.000
0.000 4.789 0.000
0.000 0.000 2.870
Re N
2 4
Cartesian
0.000 0.000 0.000 Re
2.394 2.394 1.435 Re
0.989 0.989 1.238 N
1.406 3.383 2.673 N
3.383 1.406 2.673 N
3.800 3.800 1.238 N
```

Properties
Its size of the total moment is 0.006 μB per cell. For the calculated volume, the calculation gives 11.0 A^3/atom. The density of states at the Fermi level comes out at 3.25 states/eV/cell. The crystal system is tetragonal. The calculation puts the uncorrected formation energy at 54 kJ/mol of formula units.

=====

(6)
The following is a DFT calculation (meta-GGA SCAN) of a crystal of CsZnF2 relaxed with PBEsol.

The structure in POSCAR format:
```
CsZnF2
1.0
6.371 0.000 0.000
0.000 6.371 0.000
0.000 0.000 8.700
Cs Zn F
4 4 8
Cartesian
0.000 0.000 0.000 Cs
0.000 3.186 2.175 Cs
3.186 0.000 6.525 Cs
3.186 3.186 4.350 Cs
0.000 0.000 4.350 Zn
0.000 3.186 6.525 Zn
3.186 0.000 2.175 Zn
3.186 3.186 0.000 Zn
0.900 4.778 5.438 F
1.593 0.900 3.263 F
1.593 2.285 7.613 F
2.285 4.778 1.088 F
4.086 1.593 1.088 F
4.778 4.086 7.613 F
4.778 5.471 3.263 F
5.471 1.593 5.438 F
```

Properties
Its size of the total moment is 0.000 μB per cell. For the calculated volume, the calculation gives 22.1 A^3/atom. The density of states at the Fermi level comes out at 1.57 states/eV/cell. The crystal system is tetragonal. The value obtained for the energy above the lowest structure with this stoichiometry is 0.00 kJ per mole of atoms. The calculation puts the uncorrected formation energy at -752 kJ/mol of formula units.

=====

(7)
The following is a DFT calculation (meta-GGA SCAN) of a crystal of ScSi2Hg relaxed with PBEsol.

The structure in POSCAR format:
```
ScSi2Hg
1.0
9.906 0.000 0.000
0.000 3.870 0.000
-1.510 0.000 3.568
Sc Si Hg
2 4 2
Cartesian
0.000 0.000 0.000 Sc
4.953 1.935 0.000 Sc
-0.752 1.935 1.783 Si
1.339 0.000 2.683 Si
4.201 0.000 1.783 Si
6.292 1.935 2.683 Si
2.099 1.935 0.898 Hg
7.052 0.000 0.898 Hg
```

Properties
Its size of the total moment is 0.000 μB per cell. For the calculated volume, the calculation gives 17.1 A^3/atom. The density of states at the Fermi level comes out at 2.86 states/eV/cell. The crystal system is monoclinic. The calculation puts the uncorrected formation energy at -50 kJ/mol of formula units.

=====

(8)
The following is a DFT calculation (meta-GGA SCAN) of a crystal of TiAgW2 relaxed with PBEsol.

The structure in POSCAR format:
```
TiAgW2
1.0
6.319 0.000 0.000
0.000 6.319 0.000
0.000 0.000 6.319
Ti Ag W
4 4 8
Cartesian
0.000 0.000 0.000 Ti
0.000 3.159 3.159 Ti
3.159 0.000 3.159 Ti
3.159 3.159 0.000 Ti
0.000 0.000 3.159 Ag
0.000 3.159 0.000 Ag
3.159 0.000 0.000 Ag
3.159 3.159 3.159 Ag
1.580 1.580 1.580 W
1.580 1.580 4.739 W
1.580 4.739 1.580 W
1.580 4.739 4.739 W
4.739 1.580 1.580 W
4.739 1.580 4.739 W
4.739 4.739 1.580 W
4.739 4.739 4.739 W
```

Properties
The electronic total energy comes out at -734.6 eV/cell. Its size of the total moment is 0.000 μB per cell. For the calculated volume, the calculation gives 15.8 A^3/atom. The density of states at the Fermi level comes out at 21.30 states/eV/cell. The crystal system is cubic.